1.
{"formula": "ZnCoSi4O10", "functional": "meta-GGA SCAN", "state": "PBEsol geometry", "formation_energy_uncorrected_mev_per_atom": -2553, "vol_a3_per_atom": 11.945, "m_tot_mub_per_fu": 3.0, "space_group": "P4/ncc, No. 130", "total_energy_ev_per_atom": -10.88, "lattice_angstrom": [[-3.831, 5.684, -2.181], [0.158, -2.483, -6.749], [-12.502, -7.481, 2.459]], "species": ["O", "O", "O", "O", "O", "O", "O", "O", "O", "O", "O", "O", "O", "O", "O", "O", "O", "O", "O", "O", "O", "O", "O", "O", "O", "O", "O", "O", "O", "O", "O", "O", "O", "O", "O", "O", "O", "O", "O", "O", "Zn", "Zn", "Zn", "Zn", "Si", "Si", "Si", "Si", "Si", "Si", "Si", "Si", "Si", "Si", "Si", "Si", "Si", "Si", "Si", "Si", "Co", "Co", "Co", "Co"], "fractional_positions": [[0.560, 0.748, 0.876], [0.310, 0.690, 0.750], [0.748, 0.440, 0.124], [0.940, 0.248, 0.624], [0.810, 0.190, 0.250], [0.810, 0.810, 0.750], [0.190, 0.190, 0.750], [0.560, 0.252, 0.376], [0.264, 0.580, 0.926], [0.940, 0.752, 0.124], [0.080, 0.236, 0.926], [0.580, 0.736, 0.074], [0.752, 0.060, 0.876], [0.920, 0.764, 0.926], [0.248, 0.060, 0.376], [0.748, 0.560, 0.624], [0.420, 0.264, 0.074], [0.736, 0.420, 0.926], [0.252, 0.560, 0.124], [0.190, 0.810, 0.250], [0.310, 0.310, 0.250], [0.420, 0.736, 0.574], [0.080, 0.764, 0.426], [0.690, 0.690, 0.250], [0.252, 0.440, 0.624], [0.440, 0.252, 0.876], [0.920, 0.236, 0.426], [0.736, 0.580, 0.426], [0.580, 0.264, 0.574], [0.764, 0.080, 0.074], [0.060, 0.248, 0.124], [0.264, 0.420, 0.426], [0.236, 0.920, 0.074], [0.236, 0.080, 0.574], [0.440, 0.748, 0.376], [0.752, 0.940, 0.376], [0.764, 0.920, 0.574], [0.248, 0.940, 0.876], [0.060, 0.752, 0.624], [0.690, 0.310, 0.750], [0.000, 0.000, 0.500], [0.500, 0.500, 0.000], [0.000, 0.000, 0.000], [0.500, 0.500, 0.500], [0.662, 0.737, 0.356], [0.237, 0.162, 0.856], [0.263, 0.662, 0.644], [0.237, 0.838, 0.356], [0.838, 0.237, 0.144], [0.763, 0.162, 0.356], [0.662, 0.263, 0.856], [0.737, 0.662, 0.144], [0.338, 0.737, 0.856], [0.763, 0.838, 0.856], [0.162, 0.237, 0.644], [0.737, 0.338, 0.644], [0.263, 0.338, 0.144], [0.338, 0.263, 0.356], [0.162, 0.763, 0.144], [0.838, 0.763, 0.644], [0.500, 0.000, 0.066], [0.000, 0.500, 0.934], [0.000, 0.500, 0.434], [0.500, 0.000, 0.566]]}

***

2.
{"formula": "Eu3Mg", "functional": "meta-GGA SCAN", "state": "PBEsol geometry", "vol_a3_per_atom": 33.910, "m_tot_mub_per_fu": 23.8, "dos_ef_per_ev_cell": 4.918, "space_group": "Pm-3m, No. 221", "ef_ev_per_atom": -0.040, "polymorph_energy_mev_per_atom": 23, "total_energy_ev_per_atom": -41.57, "lattice_angstrom": [[5.138, 0.000, 0.000], [0.000, 5.138, 0.000], [0.000, 0.000, 5.138]], "species": ["Eu", "Eu", "Eu", "Mg"], "fractional_positions": [[0.000, 0.500, 0.500], [0.500, 0.000, 0.500], [0.500, 0.500, 0.000], [0.000, 0.000, 0.000]]}

***

3.
{"formula": "La5Mg", "functional": "meta-GGA SCAN", "state": "PBEsol geometry", "vol_a3_per_atom": 32.141, "m_tot_mub_per_fu": 0.0, "dos_ef_per_ev_cell": 8.125, "space_group": "Cmmm, No. 65", "ef_ev_per_atom": -0.015, "polymorph_energy_mev_per_atom": 28, "total_energy_ev_per_atom": -36.77, "lattice_angstrom": [[-1.521, 3.623, 3.131], [-4.458, -2.437, 0.653], [3.671, -5.587, 4.217]], "species": ["La", "La", "La", "La", "La", "Mg"], "fractional_positions": [[0.171, 0.000, 0.343], [0.829, 0.000, 0.657], [0.337, 0.500, 0.674], [0.000, 0.500, 0.000], [0.663, 0.500, 0.326], [0.500, 0.000, 0.000]]}

***

4.
{"formula": "CdWO4", "functional": "meta-GGA SCAN", "state": "PBEsol geometry", "formation_energy_uncorrected_mev_per_atom": -2016, "vol_a3_per_atom": 12.551, "m_tot_mub_per_fu": 0.0, "dos_ef_per_ev_cell": 0.000, "space_group": "P2/c, No. 13", "total_energy_ev_per_atom": -22.85, "lattice_angstrom": [[-2.060, 1.488, 4.333], [3.022, -3.275, 2.434], [4.125, 4.194, 0.521]], "species": ["O", "O", "O", "O", "O", "O", "O", "O", "Cd", "Cd", "W", "W"], "fractional_positions": [[0.244, 0.884, 0.369], [0.201, 0.946, 0.904], [0.756, 0.616, 0.369], [0.201, 0.446, 0.096], [0.799, 0.554, 0.904], [0.244, 0.384, 0.631], [0.799, 0.054, 0.096], [0.756, 0.116, 0.631], [0.500, 0.250, 0.311], [0.500, 0.750, 0.689], [0.000, 0.250, 0.825], [0.000, 0.750, 0.175]]}

***

5.
{"formula": "BePt", "functional": "meta-GGA SCAN", "state": "PBEsol geometry", "vol_a3_per_atom": 11.314, "m_tot_mub_per_fu": 0.0, "dos_ef_per_ev_cell": 1.100, "space_group": "P2_1/m, No. 11", "ef_ev_per_atom": -0.839, "total_energy_ev_per_atom": -38.11, "lattice_angstrom": [[-1.913, 1.368, -1.482], [-2.521, -0.565, 2.731], [2.166, 3.022, 2.625]], "species": ["Pt", "Pt", "Be", "Be"], "fractional_positions": [[0.353, 0.250, 0.709], [0.647, 0.750, 0.291], [0.079, 0.250, 0.159], [0.921, 0.750, 0.841]]}

***

6.
{"formula": "Ce2PbS4", "functional": "meta-GGA SCAN", "state": "PBEsol geometry", "formation_energy_uncorrected_mev_per_atom": -1783, "vol_a3_per_atom": 22.116, "m_tot_mub_per_fu": 2.0, "dos_ef_per_ev_cell": 1.102, "space_group": "I-42d, No. 122", "total_energy_ev_per_atom": -30.84, "lattice_angstrom": [[-6.413, 2.214, -2.908], [3.894, -3.637, -5.108], [-1.308, -4.461, 5.734]], "species": ["Pb", "Pb", "Ce", "Ce", "Ce", "Ce", "S", "S", "S", "S", "S", "S", "S", "S"], "fractional_positions": [[0.000, 0.000, 0.000], [0.250, 0.750, 0.500], [0.125, 0.242, 0.617], [0.625, 0.508, 0.383], [0.758, 0.375, 0.883], [0.492, 0.875, 0.117], [0.386, 0.138, 0.908], [0.020, 0.612, 0.747], [0.230, 0.477, 0.092], [0.864, 0.273, 0.253], [0.388, 0.136, 0.408], [0.727, 0.980, 0.592], [0.862, 0.770, 0.247], [0.523, 0.614, 0.753]]}

***

7.
{"formula": "Al2ZnOs", "functional": "meta-GGA SCAN", "state": "PBEsol geometry", "vol_a3_per_atom": 13.967, "m_tot_mub_per_fu": 0.0, "dos_ef_per_ev_cell": 0.770, "space_group": "Cm, No. 8", "ef_ev_per_atom": -0.368, "total_energy_ev_per_atom": -25.59, "lattice_angstrom": [[3.036, 0.000, 0.000], [0.000, 4.342, -0.062], [-1.518, -1.741, 4.262]], "species": ["Zn", "Os", "Al", "Al"], "fractional_positions": [[0.244, 0.803, 0.488], [0.499, 0.432, 0.998], [0.997, 0.946, 0.994], [0.760, 0.319, 0.520]]}

***

8.
{"formula": "Y2Si2Ag", "functional": "meta-GGA SCAN", "state": "PBEsol geometry", "formation_energy_uncorrected_mev_per_atom": -719, "vol_a3_per_atom": 20.075, "m_tot_mub_per_fu": 0.0, "dos_ef_per_ev_cell": 5.125, "space_group": "P4/mbm, No. 127", "total_energy_ev_per_atom": -22.14, "lattice_angstrom": [[4.228, 0.000, 0.000], [0.000, 6.891, 0.000], [0.000, 0.000, 6.891]], "species": ["Y", "Y", "Y", "Y", "Si", "Si", "Si", "Si", "Ag", "Ag"], "fractional_positions": [[0.500, 0.824, 0.324], [0.500, 0.176, 0.676], [0.500, 0.324, 0.176], [0.500, 0.676, 0.824], [0.000, 0.877, 0.623], [0.000, 0.623, 0.123], [0.000, 0.123, 0.377], [0.000, 0.377, 0.877], [0.000, 0.500, 0.500], [0.000, 0.000, 0.000]]}

***

9.
{"formula": "Mg2CuAs", "functional": "meta-GGA SCAN", "state": "PBEsol geometry", "vol_a3_per_atom": 17.418, "m_tot_mub_per_fu": 0.0, "dos_ef_per_ev_cell": 1.648, "space_group": "R-3m, No. 166", "ef_ev_per_atom": -0.014, "total_energy_ev_per_atom": -11.35, "lattice_angstrom": [[3.082, 0.000, 0.000], [1.541, 2.669, 0.000], [1.541, 0.890, 8.467]], "species": ["As", "Mg", "Mg", "Cu"], "fractional_positions": [[0.500, 0.500, 0.500], [0.745, 0.745, 0.765], [0.255, 0.255, 0.235], [0.000, 0.000, 0.000]]}

***

10.
{"formula": "CsTl2P2", "functional": "meta-GGA SCAN", "state": "PBEsol geometry", "vol_a3_per_atom": 26.953, "m_tot_mub_per_fu": 0.0, "dos_ef_per_ev_cell": 1.888, "space_group": "I4/mmm, No. 139", "ef_ev_per_atom": 0.036, "polymorph_energy_mev_per_atom": 187, "total_energy_ev_per_atom": -40.63, "lattice_angstrom": [[5.027, 0.000, 0.000], [0.000, 5.027, 0.000], [-2.514, -2.514, 5.333]], "species": ["Tl", "Tl", "Cs", "P", "P"], "fractional_positions": [[0.639, 0.639, 0.279], [0.361, 0.361, 0.721], [0.000, 0.000, 0.000], [0.750, 0.250, 0.500], [0.250, 0.750, 0.500]]}

***

11.
{"formula": "ZrTePdN2", "functional": "meta-GGA SCAN", "state": "PBEsol geometry", "formation_energy_uncorrected_mev_per_atom": 393, "vol_a3_per_atom": 19.596, "m_tot_mub_per_fu": 2.7, "dos_ef_per_ev_cell": 3.096, "space_group": "P4/mmm, No. 123", "total_energy_ev_per_atom": -23.47, "lattice_angstrom": [[4.024, 0.000, 0.000], [0.000, 4.024, 0.000], [0.000, 0.000, 6.050]], "species": ["Zr", "Te", "Pd", "N", "N"], "fractional_positions": [[0.000, 0.000, 0.000], [0.000, 0.000, 0.500], [0.500, 0.500, 0.500], [0.000, 0.500, 0.000], [0.500, 0.000, 0.000]]}

***

12.
{"formula": "NiAs2Pb", "functional": "meta-GGA SCAN", "state": "PBEsol geometry", "vol_a3_per_atom": 19.029, "m_tot_mub_per_fu": 0.0, "dos_ef_per_ev_cell": 2.468, "space_group": "I4/mmm, No. 139", "ef_ev_per_atom": 0.484, "total_energy_ev_per_atom": -32.60, "lattice_angstrom": [[3.828, 0.000, 0.000], [0.000, 3.828, 0.000], [-1.914, -1.914, 5.194]], "species": ["Ni", "Pb", "As", "As"], "fractional_positions": [[0.500, 0.500, 0.000], [0.000, 0.000, 0.000], [0.250, 0.750, 0.500], [0.750, 0.250, 0.500]]}

***

13.
{"formula": "NaFeAg3", "functional": "meta-GGA SCAN", "state": "PBEsol geometry", "vol_a3_per_atom": 20.518, "m_tot_mub_per_fu": 3.2, "dos_ef_per_ev_cell": 5.561, "space_group": "Pm-3m, No. 221", "ef_ev_per_atom": 1.266, "total_energy_ev_per_atom": -22.02, "lattice_angstrom": [[-2.202, 2.013, -3.608], [3.154, -1.821, -2.941], [-2.668, -3.814, -0.500]], "species": ["Fe", "Ag", "Ag", "Ag", "Na"], "fractional_positions": [[0.500, 0.500, 0.500], [0.500, 0.000, 0.000], [0.000, 0.000, 0.500], [0.000, 0.500, 0.000], [0.000, 0.000, 0.000]]}

***

14.
{"formula": "LiAsPCl2", "functional": "meta-GGA SCAN", "state": "PBEsol geometry", "formation_energy_uncorrected_mev_per_atom": -158, "vol_a3_per_atom": 24.748, "m_tot_mub_per_fu": 0.6, "dos_ef_per_ev_cell": 2.970, "space_group": "P4/mmm, No. 123", "total_energy_ev_per_atom": -9.95, "lattice_angstrom": [[-3.249, -3.280, 1.072], [3.364, -3.688, -1.092], [1.590, 0.012, 4.856]], "species": ["Cl", "Cl", "As", "Li", "P"], "fractional_positions": [[0.000, 0.000, 0.500], [0.000, 0.500, 0.000], [0.000, 0.000, 0.000], [0.500, 0.500, 0.500], [0.500, 0.000, 0.000]]}

***

15.
{"formula": "Zr2ReCl", "functional": "meta-GGA SCAN", "state": "PBEsol geometry", "formation_energy_uncorrected_mev_per_atom": -468, "vol_a3_per_atom": 18.831, "m_tot_mub_per_fu": 0.0, "dos_ef_per_ev_cell": 2.627, "space_group": "R-3m, No. 166", "polymorph_energy_mev_per_atom": 0, "total_energy_ev_per_atom": -35.59, "lattice_angstrom": [[-1.181, 2.577, -1.629], [-2.439, 1.764, 1.277], [4.211, 6.263, 3.575]], "species": ["Cl", "Re", "Zr", "Zr"], "fractional_positions": [[0.500, 0.500, 0.500], [0.000, 0.000, 0.000], [0.745, 0.745, 0.765], [0.255, 0.255, 0.235]]}

***

16.
{"formula": "LiIn2Hg", "functional": "meta-GGA SCAN", "state": "PBEsol geometry", "vol_a3_per_atom": 22.159, "m_tot_mub_per_fu": 0.0, "dos_ef_per_ev_cell": 1.398, "space_group": "F-43m, No. 216", "ef_ev_per_atom": -0.165, "total_energy_ev_per_atom": -34.50, "lattice_angstrom": [[5.005, 0.000, 0.000], [2.502, 4.334, 0.000], [2.502, 1.445, 4.086]], "species": ["In", "In", "Li", "Hg"], "fractional_positions": [[0.000, 0.000, 0.000], [0.250, 0.250, 0.250], [0.750, 0.750, 0.750], [0.500, 0.500, 0.500]]}

***

17.
{"formula": "ScPAuCl2", "functional": "meta-GGA SCAN", "state": "PBEsol geometry", "formation_energy_uncorrected_mev_per_atom": -11, "vol_a3_per_atom": 22.714, "m_tot_mub_per_fu": 0.3, "dos_ef_per_ev_cell": 2.928, "space_group": "P4/mmm, No. 123", "total_energy_ev_per_atom": -21.96, "lattice_angstrom": [[4.766, 0.000, 0.000], [0.000, 4.766, 0.000], [0.000, 0.000, 4.999]], "species": ["Cl", "Cl", "Sc", "P", "Au"], "fractional_positions": [[0.500, 0.000, 0.000], [0.000, 0.500, 0.000], [0.500, 0.500, 0.500], [0.000, 0.000, 0.500], [0.000, 0.000, 0.000]]}

***

18.
{"formula": "Tl2TeO6", "functional": "meta-GGA SCAN", "state": "PBEsol geometry", "formation_energy_uncorrected_mev_per_atom": -920, "vol_a3_per_atom": 13.489, "m_tot_mub_per_fu": 0.0, "dos_ef_per_ev_cell": 10.693, "space_group": "P321, No. 150", "total_energy_ev_per_atom": -25.29, "lattice_angstrom": [[5.016, 0.000, 0.000], [0.000, 9.157, 0.000], [0.000, -4.578, 7.930]], "species": ["O", "O", "O", "O", "O", "O", "O", "O", "O", "O", "O", "O", "O", "O", "O", "O", "O", "O", "Te", "Te", "Te", "Tl", "Tl", "Tl", "Tl", "Tl", "Tl"], "fractional_positions": [[0.218, 0.922, 0.799], [0.708, 0.465, 0.243], [0.292, 0.535, 0.778], [0.265, 0.866, 0.402], [0.735, 0.402, 0.866], [0.218, 0.201, 0.122], [0.708, 0.757, 0.222], [0.292, 0.222, 0.757], [0.782, 0.799, 0.922], [0.735, 0.134, 0.536], [0.735, 0.464, 0.598], [0.218, 0.878, 0.078], [0.782, 0.122, 0.201], [0.265, 0.598, 0.464], [0.708, 0.778, 0.535], [0.265, 0.536, 0.134], [0.782, 0.078, 0.878], [0.292, 0.243, 0.465], [0.487, 0.667, 0.333], [0.000, 0.000, 0.000], [0.513, 0.333, 0.667], [0.000, 0.000, 0.624], [0.000, 0.376, 0.376], [0.000, 0.624, 0.000], [0.500, 0.000, 0.287], [0.500, 0.713, 0.713], [0.500, 0.287, 0.000]]}

***

19.
{"formula": "KMg4Se", "functional": "meta-GGA SCAN", "state": "PBEsol geometry", "formation_energy_uncorrected_mev_per_atom": 94, "vol_a3_per_atom": 26.591, "m_tot_mub_per_fu": 0.0, "dos_ef_per_ev_cell": 2.470, "space_group": "F-43m, No. 216", "total_energy_ev_per_atom": -7.96, "lattice_angstrom": [[-4.966, -1.495, -3.189], [-1.451, -5.857, -0.806], [-4.845, -2.354, 2.837]], "species": ["Mg", "Mg", "Mg", "Mg", "K", "Se"], "fractional_positions": [[0.376, 0.376, 0.376], [0.376, 0.871, 0.376], [0.871, 0.376, 0.376], [0.376, 0.376, 0.871], [0.000, 0.000, 0.000], [0.750, 0.750, 0.750]]}

***

20.
{"formula": "Tl2PW", "functional": "meta-GGA SCAN", "state": "PBEsol geometry", "vol_a3_per_atom": 21.121, "m_tot_mub_per_fu": 0.0, "dos_ef_per_ev_cell": 2.312, "space_group": "P4mm, No. 99", "ef_ev_per_atom": 0.280, "polymorph_energy_mev_per_atom": 0, "total_energy_ev_per_atom": -55.92, "lattice_angstrom": [[-0.635, 1.231, -2.800], [0.335, -2.815, -1.314], [-8.423, -1.572, 1.219]], "species": ["P", "Tl", "Tl", "W"], "fractional_positions": [[0.500, 0.500, 0.682], [0.000, 0.000, 0.957], [0.500, 0.500, 0.299], [0.000, 0.000, 0.562]]}